Computed, not measured: a relaxed Y3NbCu crystal at the GGA-PBE level of DFT.

Values from the calculation:
**E**: -29.664 eV for the cell shown
**E above lowest polymorph**: 94 kJ/mol of formula units
**Formation enthalpy at 0 K**: 0.779 eV per atom
**Magnetic moment**: 0.00 Bohr magnetons per cell

Structure (CIF):
```
data_Y3NbCu
_chemical_formula_sum 'Y3 Nb1 Cu1'
_symmetry_space_group_name_H-M 'P m -3 m'
_symmetry_Int_Tables_number 221
_symmetry_space_group_name_Hall '-P 4 2 3'
_cell_length_a 5.383
_cell_length_b 5.383
_cell_length_c 5.383
_cell_angle_alpha 90.00
_cell_angle_beta 90.00
_cell_angle_gamma 90.00
loop_
_atom_site_label
_atom_site_fract_x
_atom_site_fract_y
_atom_site_fract_z
_atom_site_occupancy
Y1 0.000 0.000 0.500 1
Nb1 0.000 0.000 0.000 1
Cu1 0.500 0.500 0.500 1
```

Computed, not measured: a relaxed YNb2Cu2 crystal at the GGA-PBE level of DFT.

Values from the calculation:
**E**: -67.336 eV for the cell shown
**E above lowest polymorph**: 0 kJ/mol of formula units
**Formation enthalpy at 0 K**: 0.226 eV per atom
**Magnetic moment**: 0.78 Bohr magnetons per cell

Structure (CIF):
```
data_YNb2Cu2
_chemical_formula_sum 'Y2 Nb4 Cu4'
_symmetry_space_group_name_H-M 'P 4/m b m'
_symmetry_Int_Tables_number 127
_symmetry_space_group_name_Hall '-P 4 2ab'
_cell_length_a 7.991
_cell_length_b 7.991
_cell_length_c 2.817
_cell_angle_alpha 90.00
_cell_angle_beta 90.00
_cell_angle_gamma 90.00
loop_
_atom_site_label
_atom_site_fract_x
_atom_site_fract_y
_atom_site_fract_z
_atom_site_occupancy
Y1 0.000 0.000 0.000 1
Nb1 0.119 0.381 0.000 1
Cu1 0.177 0.677 0.500 1
```

Computed, not measured: a relaxed Y2Nb4Cu crystal at the GGA-PBE level of DFT.

Values from the calculation:
**E**: -100.336 eV for the cell shown
**Formation enthalpy at 0 K**: 1.019 eV per atom
**Magnetic moment**: 0.00 Bohr magnetons per cell

Structure (CIF):
```
data_Y2Nb4Cu
_chemical_formula_sum 'Y4 Nb8 Cu2'
_symmetry_space_group_name_H-M 'I 4/m m m'
_symmetry_Int_Tables_number 139
_symmetry_space_group_name_Hall '-I 4 2'
_cell_length_a 4.666
_cell_length_b 4.666
_cell_length_c 15.869
_cell_angle_alpha 90.00
_cell_angle_beta 90.00
_cell_angle_gamma 90.00
loop_
_atom_site_label
_atom_site_fract_x
_atom_site_fract_y
_atom_site_fract_z
_atom_site_occupancy
Y1 0.000 0.000 0.150 1
Nb1 0.000 0.000 0.351 1
Nb2 0.000 0.500 0.000 1
Cu1 0.000 0.000 0.500 1
```

Computed, not measured: a relaxed YNbZn2Cu crystal at the GGA-PBE level of DFT.

Values from the calculation:
**E**: -20.270 eV for the cell shown
**Formation enthalpy at 0 K**: 0.582 eV per atom
**Magnetic moment**: 0.00 Bohr magnetons per cell

Structure (CIF):
```
data_YNbZn2Cu
_chemical_formula_sum 'Y1 Nb1 Zn2 Cu1'
_symmetry_space_group_name_H-M 'P 4/m m m'
_symmetry_Int_Tables_number 123
_symmetry_space_group_name_Hall '-P 4 2'
_cell_length_a 4.944
_cell_length_b 4.944
_cell_length_c 4.671
_cell_angle_alpha 90.00
_cell_angle_beta 90.00
_cell_angle_gamma 90.00
loop_
_atom_site_label
_atom_site_fract_x
_atom_site_fract_y
_atom_site_fract_z
_atom_site_occupancy
Y1 0.000 0.000 0.000 1
Nb1 0.500 0.500 0.500 1
Zn1 0.000 0.500 0.500 1
Cu1 0.500 0.500 0.000 1
```

Computed, not measured: a relaxed Nb3Zn2Cu4 crystal at the GGA-PBE level of DFT.

Values from the calculation:
**E**: -195.447 eV for the cell shown
**Formation enthalpy at 0 K**: 0.031 eV per atom
**Magnetic moment**: 0.00 Bohr magnetons per cell

Structure (CIF):
```
data_Nb3Zn2Cu4
_chemical_formula_sum 'Nb12 Zn8 Cu16'
_symmetry_space_group_name_H-M 'C c c m'
_symmetry_Int_Tables_number 66
_symmetry_space_group_name_Hall '-C 2 2c'
_cell_length_a 7.466
_cell_length_b 12.978
_cell_length_c 5.398
_cell_angle_alpha 90.00
_cell_angle_beta 90.00
_cell_angle_gamma 90.00
loop_
_atom_site_label
_atom_site_fract_x
_atom_site_fract_y
_atom_site_fract_z
_atom_site_occupancy
Nb1 0.000 0.000 0.250 1
Nb2 0.000 0.339 0.250 1
Zn1 0.164 0.167 0.000 1
Cu1 0.167 0.168 0.500 1
Cu2 0.169 0.500 0.000 1
```

Computed, not measured: a relaxed NbZn2Cu3 crystal at the GGA-PBE level of DFT.

Values from the calculation:
**E**: -25.141 eV for the cell shown
**Formation enthalpy at 0 K**: -0.039 eV per atom
**Magnetic moment**: 0.00 Bohr magnetons per cell

Structure (CIF):
```
data_NbZn2Cu3
_chemical_formula_sum 'Nb1 Zn2 Cu3'
_symmetry_space_group_name_H-M 'P 4/m m m'
_symmetry_Int_Tables_number 123
_symmetry_space_group_name_Hall '-P 4 2'
_cell_length_a 2.852
_cell_length_b 2.852
_cell_length_c 10.156
_cell_angle_alpha 90.00
_cell_angle_beta 90.00
_cell_angle_gamma 90.00
loop_
_atom_site_label
_atom_site_fract_x
_atom_site_fract_y
_atom_site_fract_z
_atom_site_occupancy
Nb1 0.000 0.000 0.000 1
Zn1 0.000 0.000 0.342 1
Cu1 0.500 0.500 0.187 1
Cu2 0.500 0.500 0.500 1
```

Computed, not measured: a relaxed NbZnCu crystal at the GGA-PBE level of DFT.

Values from the calculation:
**E**: -57.870 eV for the cell shown
**Formation enthalpy at 0 K**: 0.324 eV per atom
**Magnetic moment**: 0.00 Bohr magnetons per cell

Structure (CIF):
```
data_NbZnCu
_chemical_formula_sum 'Nb4 Zn4 Cu4'
_symmetry_space_group_name_H-M 'I m m m'
_symmetry_Int_Tables_number 71
_symmetry_space_group_name_Hall '-I 2 2'
_cell_length_a 2.605
_cell_length_b 5.146
_cell_length_c 14.521
_cell_angle_alpha 90.00
_cell_angle_beta 90.00
_cell_angle_gamma 90.00
loop_
_atom_site_label
_atom_site_fract_x
_atom_site_fract_y
_atom_site_fract_z
_atom_site_occupancy
Nb1 0.000 0.250 0.000 1
Zn1 0.000 0.000 0.342 1
Cu1 0.000 0.000 0.170 1
```

Computed, not measured: a relaxed NbZn2Cu2 crystal at the GGA-PBE level of DFT.

Values from the calculation:
**E**: -41.482 eV for the cell shown
**E above lowest polymorph**: 0 kJ/mol of formula units
**Formation enthalpy at 0 K**: 0.014 eV per atom
**Magnetic moment**: 0.00 Bohr magnetons per cell

Structure (CIF):
```
data_NbZn2Cu2
_chemical_formula_sum 'Nb2 Zn4 Cu4'
_symmetry_space_group_name_H-M 'P 4/m b m'
_symmetry_Int_Tables_number 127
_symmetry_space_group_name_Hall '-P 4 2ab'
_cell_length_a 7.316
_cell_length_b 7.316
_cell_length_c 2.644
_cell_angle_alpha 90.00
_cell_angle_beta 90.00
_cell_angle_gamma 90.00
loop_
_atom_site_label
_atom_site_fract_x
_atom_site_fract_y
_atom_site_fract_z
_atom_site_occupancy
Nb1 0.000 0.000 0.000 1
Zn1 0.174 0.326 0.500 1
Cu1 0.123 0.623 0.000 1
```

Computed, not measured: a relaxed NbZnCu crystal at the GGA-PBE level of DFT.

Values from the calculation:
**E**: -15.343 eV for the cell shown
**Formation enthalpy at 0 K**: 0.032 eV per atom
**Magnetic moment**: 0.00 Bohr magnetons per cell

Structure (CIF):
```
data_NbZnCu
_chemical_formula_sum 'Nb1 Zn1 Cu1'
_symmetry_space_group_name_H-M 'P -6 m 2'
_symmetry_Int_Tables_number 187
_symmetry_space_group_name_Hall 'P -6 2'
_cell_length_a 4.2891
_cell_length_b 4.2891
_cell_length_c 2.7986
_cell_angle_alpha 90.00
_cell_angle_beta 90.00
_cell_angle_gamma 120.00
loop_
_atom_site_label
_atom_site_fract_x
_atom_site_fract_y
_atom_site_fract_z
_atom_site_occupancy
Nb1 0.0000 0.0000 0.0000 1
Zn1 0.6667 0.3333 0.5000 1
Cu1 0.3333 0.6667 0.5000 1
```

Computed, not measured: a relaxed Nb4Zn2Cu crystal at the GGA-PBE level of DFT.

Values from the calculation:
**E**: -79.147 eV for the cell shown
**Formation enthalpy at 0 K**: 1.050 eV per atom
**Magnetic moment**: 0.00 Bohr magnetons per cell

Structure (CIF):
```
data_Nb4Zn2Cu
_chemical_formula_sum 'Nb8 Zn4 Cu2'
_symmetry_space_group_name_H-M 'I 4/m m m'
_symmetry_Int_Tables_number 139
_symmetry_space_group_name_Hall '-I 4 2'
_cell_length_a 4.492
_cell_length_b 4.492
_cell_length_c 13.838
_cell_angle_alpha 90.00
_cell_angle_beta 90.00
_cell_angle_gamma 90.00
loop_
_atom_site_label
_atom_site_fract_x
_atom_site_fract_y
_atom_site_fract_z
_atom_site_occupancy
Nb1 0.000 0.000 0.181 1
Nb2 0.000 0.500 0.000 1
Zn1 0.000 0.000 0.372 1
Cu1 0.000 0.000 0.000 1
```

Computed, not measured: a relaxed NbZnCu crystal at the GGA-PBE level of DFT.

Values from the calculation:
**E**: -61.662 eV for the cell shown
**Formation enthalpy at 0 K**: 0.008 eV per atom
**Magnetic moment**: 0.00 Bohr magnetons per cell

Structure (CIF):
```
data_NbZnCu
_chemical_formula_sum 'Nb4 Zn4 Cu4'
_symmetry_space_group_name_H-M 'C 1 m 1'
_symmetry_Int_Tables_number 8
_cell_length_a 10.759
_cell_length_b 2.663
_cell_length_c 7.648
_cell_angle_alpha 90.00
_cell_angle_beta 125.00
_cell_angle_gamma 90.00
loop_
_symmetry_equiv_pos_as_xyz
'x,y,z'
'x,-y,z'
'x+1/2,y+1/2,z'
'x+1/2,-y+1/2,z'
loop_
_atom_site_label
_atom_site_fract_x
_atom_site_fract_y
_atom_site_fract_z
_atom_site_occupancy
Nb1 0.000 0.000 0.000 1
Nb2 0.217 0.000 0.633 1
Zn1 0.236 0.500 0.986 1
Zn2 0.267 0.500 0.347 1
Cu1 0.467 0.000 0.297 1
Cu2 0.486 0.000 0.650 1
```

Computed, not measured: a relaxed NbZn3Cu crystal at the GGA-PBE level of DFT.

Values from the calculation:
**E**: -15.278 eV for the cell shown
**E above lowest polymorph**: 0 kJ/mol of formula units
**Formation enthalpy at 0 K**: 0.542 eV per atom
**Magnetic moment**: 0.00 Bohr magnetons per cell

Structure (CIF):
```
data_NbZn3Cu
_chemical_formula_sum 'Nb1 Zn3 Cu1'
_symmetry_space_group_name_H-M 'P m -3 m'
_symmetry_Int_Tables_number 221
_symmetry_space_group_name_Hall '-P 4 2 3'
_cell_length_a 4.397
_cell_length_b 4.397
_cell_length_c 4.397
_cell_angle_alpha 90.00
_cell_angle_beta 90.00
_cell_angle_gamma 90.00
loop_
_atom_site_label
_atom_site_fract_x
_atom_site_fract_y
_atom_site_fract_z
_atom_site_occupancy
Nb1 0.000 0.000 0.000 1
Zn1 0.000 0.500 0.500 1
Cu1 0.500 0.500 0.500 1
```

Question: The highest magnetic moment belongs to which entry?
Answer: YNb2Cu2

Question: Among the records above, which one has the highest E?
Answer: NbZn3Cu

Question: What is the formula in the seventh record?
Answer: NbZnCu